Material: SrGa3Hg
Method: DFT, PBE-GGA
State: relaxed

Size of the total moment   0.0 μB per cell
Energy of formation from the pure elements   0.14 eV/atom
Space-group type   Pm-3m

a = 5.300 Å, b = 5.300 Å, c = 5.300 Å
α = 90.00°, β = 90.00°, γ = 90.00°
Element x y z (fractional)
1 Sr 0.000 0.000 0.000
2 Ga 0.000 0.500 0.500
3 Ga 0.500 0.000 0.500
4 Ga 0.500 0.500 0.000
5 Hg 0.500 0.500 0.500

---

Material: HfSi3B
Method: DFT, PBE-GGA
State: relaxed

Size of the total moment   0.0 μB per cell
Formation energy from raw total energies   0.51 eV per atom
Space-group type   Pm-3m

a = 4.198 Å, b = 4.198 Å, c = 4.198 Å
α = 90.00°, β = 90.00°, γ = 90.00°
Element x y z (fractional)
1 Hf 0.000 0.000 0.000
2 Si 0.000 0.500 0.500
3 Si 0.500 0.000 0.500
4 Si 0.500 0.500 0.000
5 B 0.500 0.500 0.500

---

Material: PmHoEr2
Method: DFT, PBE-GGA
State: relaxed

Size of the total moment   0.0 μB per cell
Energy of formation from the pure elements   0.21 eV/atom
Space-group type   P2/c

a = 6.918 Å, b = 6.895 Å, c = 11.024 Å
α = 90.00°, β = 90.03°, γ = 90.00°
Element x y z (fractional)
1 Pm 0.126 0.126 0.387
2 Pm 0.126 0.874 0.887
3 Pm 0.874 0.126 0.113
4 Pm 0.874 0.874 0.613
5 Ho 0.376 0.376 0.613
6 Ho 0.376 0.624 0.113
7 Ho 0.624 0.376 0.887
8 Ho 0.624 0.624 0.387
9 Er 0.126 0.376 0.887
10 Er 0.126 0.624 0.387
11 Er 0.376 0.126 0.112
12 Er 0.376 0.874 0.612
13 Er 0.624 0.126 0.388
14 Er 0.624 0.874 0.888
15 Er 0.874 0.376 0.613
16 Er 0.874 0.624 0.113

---

Material: ZnCrW2
Method: DFT, PBE-GGA
State: relaxed

Size of the total moment   1.4 μB per cell
Energy of formation from the pure elements   0.39 eV/atom
Space-group type   P4/mmm

a = 2.676 Å, b = 2.676 Å, c = 8.302 Å
α = 90.00°, β = 90.00°, γ = 90.00°
Element x y z (fractional)
1 Zn 0.000 0.000 0.000
2 Cr 0.000 0.000 0.500
3 W 0.500 0.500 0.255
4 W 0.500 0.500 0.745

---

Material: Y2TaBr
Method: DFT, PBE-GGA
State: relaxed

Size of the total moment   0.0 μB per cell
Formation energy from raw total energies   0.13 eV per atom
Space-group type   P4mm

a = 3.304 Å, b = 3.304 Å, c = 10.638 Å
α = 90.00°, β = 90.00°, γ = 90.00°
Element x y z (fractional)
1 Y 0.000 0.000 0.000
2 Y 0.500 0.500 0.281
3 Ta 0.500 0.500 0.807
4 Br 0.000 0.000 0.453

---

Material: GdSeBr
Method: DFT, PBE-GGA
State: relaxed

Size of the total moment   6.9 μB per cell
Formation energy from raw total energies   -1.84 eV per atom
Space-group type   P3m1

a = 4.222 Å, b = 4.222 Å, c = 6.755 Å
α = 90.00°, β = 90.00°, γ = 120.00°
Element x y z (fractional)
1 Gd 0.000 0.000 0.000
2 Se 0.333 0.667 0.796
3 Br 0.667 0.333 0.262

---

Material: LiHo2Tl8
Method: DFT, PBE-GGA
State: relaxed

Size of the total moment   0.0 μB per cell
Energy of formation from the pure elements   -0.17 eV/atom
Space-group type   P4/mmm

a = 4.844 Å, b = 4.844 Å, c = 12.446 Å
α = 90.00°, β = 90.00°, γ = 90.00°
Element x y z (fractional)
1 Li 0.000 0.000 0.000
2 Ho 0.000 0.000 0.315
3 Ho 0.000 0.000 0.685
4 Tl 0.000 0.500 0.131
5 Tl 0.000 0.500 0.500
6 Tl 0.000 0.500 0.869
7 Tl 0.500 0.000 0.131
8 Tl 0.500 0.000 0.500
9 Tl 0.500 0.000 0.869
10 Tl 0.500 0.500 0.313
11 Tl 0.500 0.500 0.687

---

Material: Mg2AuCl
Method: DFT, PBE-GGA
State: relaxed

Size of the total moment   0.0 μB per cell
Formation energy from raw total energies   -0.66 eV per atom
Space-group type   P4mm

a = 5.072 Å, b = 5.072 Å, c = 3.201 Å
α = 90.00°, β = 90.00°, γ = 90.00°
Element x y z (fractional)
1 Mg 0.000 0.500 0.000
2 Mg 0.500 0.000 0.000
3 Au 0.000 0.000 0.512
4 Cl 0.500 0.500 0.037

---

Material: La2BeCuN
Method: DFT, PBE-GGA
State: relaxed

Size of the total moment   0.0 μB per cell
Formation energy from raw total energies   -0.28 eV per atom
Space-group type   P4/mmm

a = 5.153 Å, b = 5.153 Å, c = 3.813 Å
α = 90.00°, β = 90.00°, γ = 90.00°
Element x y z (fractional)
1 La 0.000 0.500 0.000
2 La 0.500 0.000 0.000
3 Be 0.000 0.000 0.500
4 Cu 0.500 0.500 0.500
5 N 0.500 0.500 0.000

---

Material: VTeN2Cl
Method: DFT, PBE-GGA
State: relaxed

Size of the total moment   0.5 μB per cell
Formation energy from raw total energies   0.42 eV per atom
Space-group type   P4/mmm

a = 3.830 Å, b = 3.830 Å, c = 5.652 Å
α = 90.00°, β = 90.00°, γ = 90.00°
Element x y z (fractional)
1 V 0.000 0.000 0.000
2 Te 0.000 0.000 0.500
3 N 0.000 0.500 0.000
4 N 0.500 0.000 0.000
5 Cl 0.500 0.500 0.500

---

Material: ErHfP2
Method: DFT, PBE-GGA
State: relaxed

Size of the total moment   0.0 μB per cell
Energy of formation from the pure elements   -1.45 eV/atom
Space-group type   C2/m

a = 3.802 Å, b = 3.802 Å, c = 6.674 Å
α = 106.60°, β = 106.60°, γ = 60.04°
Element x y z (fractional)
1 Er 0.000 0.000 0.000
2 Hf 0.500 0.500 0.500
3 P 0.245 0.245 0.735
4 P 0.755 0.755 0.265

---

Material: MnCrFe2
Method: DFT, PBE-GGA
State: relaxed

Size of the total moment   5.0 μB per cell
Energy of formation from the pure elements   0.11 eV/atom
Space-group type   Fm-3m

a = 4.004 Å, b = 4.004 Å, c = 4.004 Å
α = 60.00°, β = 60.00°, γ = 60.00°
Element x y z (fractional)
1 Mn 0.000 0.000 0.000
2 Cr 0.500 0.500 0.500
3 Fe 0.250 0.250 0.250
4 Fe 0.750 0.750 0.750